VIr3O | PBE with a Hubbard U | optimized geometry

The energy above the most stable polymorph in this dataset comes out at 0 meV per atom. For the total DFT energy (no corrections), the calculation gives -7.0206 eV/atom.

a b c (Å): 4.1521 4.1521 4.1521
angles (deg): 90.00 90.00 90.00
Last column: nearest neighbours and their distance in Å.
Space group Pm-3m (No. 221)
One atom of each set of equivalent atoms:
1 V 0.0000 0.0000 0.0000  12 Ir 2.94
2 Ir 0.0000 0.5000 0.5000  2 O 2.08
3 O 0.5000 0.5000 0.5000  6 Ir 2.08